[1]
DFT (PBE) results for Sr2Te3 after structural relaxation.

Values from the calculation:
The crystal system is orthorhombic. The total DFT energy (no corrections) is -3.821 eV per atom.

abc: 9.871 6.254 9.914
angles: 71.20 36.85 71.95
Fractional positions:
Sr 0.296 0.704 0.310
Sr 0.560 0.940 0.546
Sr 0.704 0.296 0.690
Sr 0.940 0.560 0.954
Te 0.111 0.687 0.114
Te 0.136 0.162 0.139
Te 0.162 0.136 0.563
Te 0.493 0.493 0.507
Te 0.687 0.111 0.088
Te 0.743 0.743 0.757

[2]
DFT (PBE) results for Sr2Te after structural relaxation.

Values from the calculation:
The crystal system is monoclinic. The total DFT energy (no corrections) is -3.146 eV per atom.

abc: 6.846 6.846 10.879
angles: 120.24 120.24 36.76
Fractional positions:
Sr 0.047 0.047 0.350
Sr 0.324 0.324 0.899
Sr 0.676 0.676 0.101
Sr 0.953 0.953 0.650
Te 0.322 0.322 0.371
Te 0.678 0.678 0.629

[3]
DFT (PBE) results for SrTe after structural relaxation.

Values from the calculation:
The crystal system is cubic. The total DFT energy (no corrections) is -3.837 eV per atom.

abc: 8.819 8.819 8.819
angles: 109.47 109.47 109.47
Fractional positions:
Sr 0.000 0.000 0.693
Sr 0.000 0.693 0.000
Sr 0.307 0.307 0.307
Sr 0.693 0.000 0.000
Te 0.000 0.000 0.329
Te 0.000 0.329 0.000
Te 0.329 0.000 0.000
Te 0.671 0.671 0.671

[4]
DFT (PBE) results for SrTe after structural relaxation.

Values from the calculation:
The crystal system is cubic. The total DFT energy (no corrections) is -3.919 eV per atom.

abc: 4.086 4.086 4.086
angles: 90.00 90.00 90.00
Fractional positions:
Sr 0.000 0.000 0.000
Te 0.500 0.500 0.500

[5]
DFT (PBE) results for Sr5Te after structural relaxation.

Values from the calculation:
The crystal system is cubic. The calculation puts the energy above the lowest structure with this stoichiometry at 469 meV/atom. The total DFT energy (no corrections) is -1.922 eV per atom.

abc: 7.528 7.528 7.528
angles: 60.00 60.00 60.00
Fractional positions:
Sr 0.000 0.000 0.000
Sr 0.125 0.625 0.625
Sr 0.625 0.125 0.625
Sr 0.625 0.625 0.125
Sr 0.625 0.625 0.625
Te 0.250 0.250 0.250

[6]
DFT (PBE) results for SrTe after structural relaxation.

Values from the calculation:
The crystal system is cubic. The total DFT energy (no corrections) is -3.192 eV per atom.

abc: 5.771 5.771 5.771
angles: 60.00 60.00 60.00
Fractional positions:
Sr 0.125 0.125 0.125
Sr 0.875 0.875 0.875
Te 0.375 0.375 0.375
Te 0.625 0.625 0.625

[7]
DFT (PBE) results for SrTe after structural relaxation.

Values from the calculation:
The crystal system is cubic. The total DFT energy (no corrections) is -3.861 eV per atom.

abc: 9.140 9.140 9.140
angles: 90.00 90.00 90.00
Fractional positions:
Sr 0.000 0.250 0.500
Sr 0.000 0.750 0.500
Sr 0.250 0.500 0.000
Sr 0.500 0.000 0.250
Sr 0.500 0.000 0.750
Sr 0.750 0.500 0.000
Te 0.000 0.500 0.250
Te 0.000 0.500 0.750
Te 0.250 0.000 0.500
Te 0.500 0.250 0.000
Te 0.500 0.750 0.000
Te 0.750 0.000 0.500

[8]
DFT (PBE) results for Sr3ThTe4 after structural relaxation.

Values from the calculation:
The crystal system is orthorhombic. The total DFT energy (no corrections) is -4.616 eV per atom.

abc: 8.098 8.098 4.578
angles: 90.00 90.00 108.82
Fractional positions:
Sr 0.000 0.000 0.000
Sr 0.000 0.500 0.500
Sr 0.500 0.000 0.500
Th 0.500 0.500 0.000
Te 0.256 0.744 0.000
Te 0.258 0.258 0.500
Te 0.742 0.742 0.500
Te 0.744 0.256 0.000

[9]
DFT (PBE) results for Sr2Th3Te8 after structural relaxation.

Values from the calculation:
The crystal system is orthorhombic. The total DFT energy (no corrections) is -5.152 eV per atom.

abc: 9.811 9.811 5.388
angles: 90.00 90.00 110.51
Fractional positions:
Sr 0.237 0.763 0.000
Sr 0.763 0.237 0.000
Th 0.220 0.220 0.500
Th 0.500 0.500 0.000
Th 0.780 0.780 0.500
Te 0.121 0.879 0.500
Te 0.148 0.380 0.000
Te 0.380 0.148 0.000
Te 0.389 0.611 0.500
Te 0.611 0.389 0.500
Te 0.620 0.852 0.000
Te 0.852 0.620 0.000
Te 0.879 0.121 0.500

[10]
DFT (PBE) results for Sr2ThZnTe5 after structural relaxation.

Values from the calculation:
The crystal system is orthorhombic. The total DFT energy (no corrections) is -4.326 eV per atom.

abc: 10.235 10.235 13.846
angles: 90.00 90.00 154.61
Fractional positions:
Sr 0.110 0.890 0.500
Sr 0.117 0.883 0.141
Sr 0.883 0.117 0.641
Sr 0.890 0.110 0.000
Th 0.202 0.798 0.837
Th 0.798 0.202 0.337
Zn 0.439 0.561 0.259
Zn 0.561 0.439 0.759
Te 0.047 0.953 0.867
Te 0.292 0.708 0.494
Te 0.309 0.691 0.178
Te 0.358 0.642 0.824
Te 0.499 0.501 0.091
Te 0.501 0.499 0.591
Te 0.642 0.358 0.324
Te 0.691 0.309 0.678
Te 0.708 0.292 0.994
Te 0.953 0.047 0.367

[11]
DFT (PBE) results for SrTiTe3 after structural relaxation.

Values from the calculation:
The crystal system is cubic. The calculation puts the energy above the lowest structure with this stoichiometry at 0 meV/atom. The total DFT energy (no corrections) is -4.603 eV per atom.

abc: 5.437 5.437 5.437
angles: 90.00 90.00 90.00
Fractional positions:
Sr 0.000 0.000 0.000
Ti 0.500 0.500 0.500
Te 0.000 0.500 0.500
Te 0.500 0.000 0.500
Te 0.500 0.500 0.000

[12]
DFT (PBE) results for SrTi3Te after structural relaxation.

Values from the calculation:
The crystal system is cubic. The calculation puts the energy above the lowest structure with this stoichiometry at 0 meV/atom. The total DFT energy (no corrections) is -5.173 eV per atom.

abc: 5.155 5.155 5.155
angles: 90.00 90.00 90.00
Fractional positions:
Sr 0.000 0.000 0.000
Ti 0.000 0.500 0.500
Ti 0.500 0.000 0.500
Ti 0.500 0.500 0.000
Te 0.500 0.500 0.500

[13]
DFT (PBE) results for Sr2TiTe2 after structural relaxation.

Values from the calculation:
The crystal system is tetragonal. The calculation puts the energy above the lowest structure with this stoichiometry at 272 meV/atom. The total DFT energy (no corrections) is -3.711 eV per atom.

abc: 7.009 7.009 7.009
angles: 127.44 127.44 77.54
Fractional positions:
Sr 0.183 0.183 0.000
Sr 0.817 0.817 0.000
Ti 0.500 0.500 0.000
Te 0.250 0.750 0.500
Te 0.750 0.250 0.500

[14]
DFT (PBE) results for SrTiTe3 after structural relaxation.

Values from the calculation:
The crystal system is cubic. The calculation puts the energy above the lowest structure with this stoichiometry at 1455 meV/atom. The total DFT energy (no corrections) is -3.148 eV per atom.

abc: 5.995 5.995 5.995
angles: 90.00 90.00 90.00
Fractional positions:
Sr 0.000 0.000 0.000
Ti 0.500 0.500 0.500
Te 0.000 0.000 0.500
Te 0.000 0.500 0.000
Te 0.500 0.000 0.000

[15]
DFT (PBE) results for SrTi3Te after structural relaxation.

Values from the calculation:
The crystal system is cubic. The calculation puts the energy above the lowest structure with this stoichiometry at 1203 meV/atom. The total DFT energy (no corrections) is -3.970 eV per atom.

abc: 4.885 4.885 4.885
angles: 90.00 90.00 90.00
Fractional positions:
Sr 0.000 0.000 0.000
Ti 0.000 0.000 0.500
Ti 0.000 0.500 0.000
Ti 0.500 0.000 0.000
Te 0.500 0.500 0.500

[16]
DFT (PBE) results for Sr2TiTe2 after structural relaxation.

Values from the calculation:
The crystal system is tetragonal. The calculation puts the energy above the lowest structure with this stoichiometry at 0 meV/atom. The total DFT energy (no corrections) is -3.983 eV per atom.

abc: 9.047 9.047 4.121
angles: 90.00 90.00 90.00
Fractional positions:
Sr 0.143 0.357 0.000
Sr 0.357 0.857 0.000
Sr 0.643 0.143 0.000
Sr 0.857 0.643 0.000
Ti 0.000 0.000 0.000
Ti 0.500 0.500 0.000
Te 0.163 0.663 0.500
Te 0.337 0.163 0.500
Te 0.663 0.837 0.500
Te 0.837 0.337 0.500

[17]
DFT (PBE) results for SrTi2Te after structural relaxation.

Values from the calculation:
The crystal system is tetragonal. The total DFT energy (no corrections) is -5.088 eV per atom.

abc: 10.807 10.807 10.807
angles: 154.73 154.73 36.03
Fractional positions:
Sr 0.375 0.625 0.750
Sr 0.625 0.375 0.250
Ti 0.000 0.000 0.000
Ti 0.000 0.000 0.500
Ti 0.000 0.500 0.000
Ti 0.500 0.000 0.500
Te 0.125 0.875 0.250
Te 0.875 0.125 0.750

[18]
DFT (PBE) results for Sr2TiTe4 after structural relaxation.

Values from the calculation:
The crystal system is tetragonal. The total DFT energy (no corrections) is -4.470 eV per atom.

abc: 9.350 9.350 9.350
angles: 147.04 147.04 47.31
Fractional positions:
Sr 0.141 0.141 0.000
Sr 0.859 0.859 0.000
Ti 0.500 0.500 0.000
Te 0.000 0.500 0.500
Te 0.332 0.332 0.000
Te 0.500 0.000 0.500
Te 0.668 0.668 0.000

[19]
DFT (PBE) results for Sr2TiTl3Te6 after structural relaxation.

Values from the calculation:
The crystal system is monoclinic. The total DFT energy (no corrections) is -3.902 eV per atom.

abc: 7.985 7.985 8.113
angles: 99.88 99.88 119.90
Fractional positions:
Sr 0.164 0.836 0.000
Sr 0.836 0.164 0.000
Ti 0.500 0.500 0.000
Tl 0.000 0.000 0.500
Tl 0.328 0.672 0.500
Tl 0.672 0.328 0.500
Te 0.138 0.427 0.785
Te 0.289 0.289 0.225
Te 0.427 0.138 0.785
Te 0.573 0.862 0.215
Te 0.711 0.711 0.775
Te 0.862 0.573 0.215

[20]
DFT (PBE) results for Sr3Tl5Te12 after structural relaxation.

Values from the calculation:
The crystal system is cubic. The total DFT energy (no corrections) is -3.154 eV per atom.

abc: 16.118 16.118 16.118
angles: 109.47 109.47 109.47
Fractional positions:
Sr 0.125 0.250 0.375
Sr 0.125 0.375 0.750
Sr 0.250 0.375 0.125
Sr 0.250 0.875 0.625
Sr 0.375 0.125 0.250
Sr 0.375 0.750 0.125
Sr 0.625 0.250 0.875
Sr 0.625 0.875 0.750
Sr 0.750 0.125 0.375
Sr 0.750 0.625 0.875
Sr 0.875 0.625 0.250
Sr 0.875 0.750 0.625
Tl 0.000 0.000 0.000
Tl 0.000 0.000 0.500
Tl 0.000 0.500 0.000
Tl 0.000 0.500 0.500
Tl 0.125 0.750 0.875
Tl 0.125 0.875 0.250
Tl 0.250 0.125 0.875
Tl 0.250 0.625 0.375
Tl 0.375 0.250 0.625
Tl 0.375 0.625 0.750
Tl 0.500 0.000 0.000
Tl 0.500 0.000 0.500
Tl 0.500 0.500 0.000
Tl 0.500 0.500 0.500
Tl 0.625 0.375 0.250
Tl 0.625 0.750 0.375
Tl 0.750 0.375 0.625
Tl 0.750 0.875 0.125
Tl 0.875 0.125 0.750
Tl 0.875 0.250 0.125
Te 0.059 0.238 0.146
Te 0.059 0.322 0.913
Te 0.087 0.646 0.409
Te 0.087 0.941 0.678
Te 0.091 0.738 0.678
Te 0.091 0.854 0.413
Te 0.146 0.059 0.238
Te 0.146 0.587 0.909
Te 0.178 0.238 0.591
Te 0.178 0.441 0.587
Te 0.238 0.146 0.059
Te 0.238 0.591 0.178
Te 0.262 0.322 0.909
Te 0.262 0.441 0.354
Te 0.322 0.909 0.262
Te 0.322 0.913 0.059
Te 0.354 0.262 0.441
Te 0.354 0.591 0.913
Te 0.409 0.087 0.646
Te 0.409 0.822 0.762
Te 0.413 0.091 0.854
Te 0.413 0.822 0.559
Te 0.441 0.354 0.262
Te 0.441 0.587 0.178
Te 0.559 0.413 0.822
Te 0.559 0.646 0.738
Te 0.587 0.178 0.441
Te 0.587 0.909 0.146
Te 0.591 0.178 0.238
Te 0.591 0.913 0.354
Te 0.646 0.409 0.087
Te 0.646 0.738 0.559
Te 0.678 0.087 0.941
Te 0.678 0.091 0.738
Te 0.738 0.559 0.646
Te 0.738 0.678 0.091
Te 0.762 0.409 0.822
Te 0.762 0.854 0.941
Te 0.822 0.559 0.413
Te 0.822 0.762 0.409
Te 0.854 0.413 0.091
Te 0.854 0.941 0.762
Te 0.909 0.146 0.587
Te 0.909 0.262 0.322
Te 0.913 0.059 0.322
Te 0.913 0.354 0.591
Te 0.941 0.678 0.087
Te 0.941 0.762 0.854

Number 1: E_form (uncorrected) -6.32 eV/f.u.. Number 2: E_form (uncorrected) -2.93 eV/f.u.. Number 3: E_form (uncorrected) -2.85 eV/f.u.. Number 4: E_form (uncorrected) -3.01 eV/f.u.. Number 5: E_form (uncorrected) 0.02 eV/f.u.. Number 6: E_form (uncorrected) -1.56 eV/f.u.. Number 7: E_form (uncorrected) -2.90 eV/f.u.. Number 8: E_form (uncorrected) -11.89 eV/f.u.. Number 9: E_form (uncorrected) -16.22 eV/f.u.. Number 10: E_form (uncorrected) -11.17 eV/f.u.. Number 11: E_form (uncorrected) -4.02 eV/f.u.. Number 12: E_form (uncorrected) 2.64 eV/f.u.. Number 13: E_form (uncorrected) -1.01 eV/f.u.. Number 14: E_form (uncorrected) 3.26 eV/f.u.. Number 15: E_form (uncorrected) 8.66 eV/f.u.. Number 16: E_form (uncorrected) -2.37 eV/f.u.. Number 17: E_form (uncorrected) 0.26 eV/f.u.. Number 18: E_form (uncorrected) -7.47 eV/f.u.. Number 19: E_form (uncorrected) -9.62 eV/f.u.. Number 20: E_form (uncorrected) -8.50 eV/f.u..